# Tc2AsRu (PBE-GGA, relaxed)
data_Tc2AsRu
_cell_length_a 4.444
_cell_length_b 4.444
_cell_length_c 2.942
_cell_angle_alpha 90.00
_cell_angle_beta 90.00
_cell_angle_gamma 90.00
_symmetry_space_group_name_H-M 'P 4/m m m'
_symmetry_Int_Tables_number 123
_symmetry_space_group_name_Hall '-P 4 2'
loop_
_atom_site_label
_atom_site_type_symbol
_atom_site_fract_x
_atom_site_fract_y
_atom_site_fract_z
Tc1 Tc 0.000 0.500 0.000
As1 As 0.000 0.000 0.500
Ru1 Ru 0.500 0.500 0.500
# Total magnetic moment = 0.000 μB/cell
# Fermi-level density of states = 4.37 states/eV per cell
# Calculated formation energy = 0.161 eV per atom
# Crystal system = tetragonal



# TcAsRu2 (PBE-GGA, relaxed)
data_TcAsRu2
_cell_length_a 4.500
_cell_length_b 4.500
_cell_length_c 2.888
_cell_angle_alpha 90.00
_cell_angle_beta 90.00
_cell_angle_gamma 90.00
_symmetry_space_group_name_H-M 'P 4/m m m'
_symmetry_Int_Tables_number 123
_symmetry_space_group_name_Hall '-P 4 2'
loop_
_atom_site_label
_atom_site_type_symbol
_atom_site_fract_x
_atom_site_fract_y
_atom_site_fract_z
Tc1 Tc 0.000 0.000 0.000
As1 As 0.500 0.500 0.000
Ru1 Ru 0.000 0.500 0.500
# Total magnetic moment = 1.014 μB/cell
# Fermi-level density of states = 5.30 states/eV per cell
# Calculated formation energy = 0.280 eV per atom
# Crystal system = tetragonal



# TcAsRu2 (PBE-GGA, relaxed)
data_TcAsRu2
_cell_length_a 2.8258
_cell_length_b 2.8258
_cell_length_c 25.1932
_cell_angle_alpha 90.00
_cell_angle_beta 90.00
_cell_angle_gamma 120.00
_symmetry_space_group_name_H-M 'R -3 m'
_symmetry_Int_Tables_number 166
_symmetry_space_group_name_Hall '-R 3 2"'
loop_
_atom_site_label
_atom_site_type_symbol
_atom_site_fract_x
_atom_site_fract_y
_atom_site_fract_z
Tc1 Tc 0.0000 0.0000 0.0000
As1 As 0.0000 0.0000 0.5000
Ru1 Ru 0.0000 0.0000 0.2482
# Total magnetic moment = 0.000 μB/cell
# Fermi-level density of states = 17.65 states/eV per cell
# Calculated formation energy = 0.113 eV per atom
# Crystal system = trigonal



# TcAsRu2 (PBE-GGA, relaxed)
data_TcAsRu2
_cell_length_a 3.855
_cell_length_b 3.855
_cell_length_c 7.664
_cell_angle_alpha 90.00
_cell_angle_beta 90.00
_cell_angle_gamma 90.00
_symmetry_space_group_name_H-M 'I 4/m m m'
_symmetry_Int_Tables_number 139
_symmetry_space_group_name_Hall '-I 4 2'
loop_
_atom_site_label
_atom_site_type_symbol
_atom_site_fract_x
_atom_site_fract_y
_atom_site_fract_z
Tc1 Tc 0.000 0.000 0.000
As1 As 0.000 0.000 0.500
Ru1 Ru 0.000 0.500 0.250
# Total magnetic moment = 0.000 μB/cell
# Fermi-level density of states = 9.09 states/eV per cell
# Calculated formation energy = 0.127 eV per atom
# Crystal system = tetragonal



# TcAsRu2 (PBE-GGA, relaxed)
data_TcAsRu2
_cell_length_a 2.823
_cell_length_b 4.040
_cell_length_c 5.223
_cell_angle_alpha 90.00
_cell_angle_beta 104.22
_cell_angle_gamma 90.00
_symmetry_space_group_name_H-M 'P 1 2/m 1'
_symmetry_Int_Tables_number 10
_symmetry_space_group_name_Hall '-P 2y'
loop_
_atom_site_label
_atom_site_type_symbol
_atom_site_fract_x
_atom_site_fract_y
_atom_site_fract_z
Tc1 Tc 0.000 0.000 0.000
As1 As 0.000 0.000 0.500
Ru1 Ru 0.376 0.500 0.744
# Total magnetic moment = 0.000 μB/cell
# Fermi-level density of states = 3.97 states/eV per cell
# Calculated formation energy = 0.046 eV per atom
# Crystal system = monoclinic



# TcAsRu2 (PBE-GGA, relaxed)
data_TcAsRu2
_cell_length_a 2.942
_cell_length_b 4.386
_cell_length_c 8.823
_cell_angle_alpha 90.00
_cell_angle_beta 90.00
_cell_angle_gamma 90.00
_symmetry_space_group_name_H-M 'I m m m'
_symmetry_Int_Tables_number 71
_symmetry_space_group_name_Hall '-I 2 2'
loop_
_atom_site_label
_atom_site_type_symbol
_atom_site_fract_x
_atom_site_fract_y
_atom_site_fract_z
Tc1 Tc 0.000 0.000 0.000
As1 As 0.000 0.000 0.500
Ru1 Ru 0.000 0.500 0.223
# Total magnetic moment = 0.000 μB/cell
# Fermi-level density of states = 6.40 states/eV per cell
# Calculated formation energy = 0.028 eV per atom
# Crystal system = orthorhombic



# TcAs6Ru (PBE-GGA, relaxed)
data_TcAs6Ru
_cell_length_a 12.168
_cell_length_b 8.642
_cell_length_c 8.626
_cell_angle_alpha 90.00
_cell_angle_beta 134.81
_cell_angle_gamma 90.00
_symmetry_space_group_name_H-M 'C 1 2/m 1'
_symmetry_Int_Tables_number 12
_symmetry_space_group_name_Hall '-C 2y'
loop_
_atom_site_label
_atom_site_type_symbol
_atom_site_fract_x
_atom_site_fract_y
_atom_site_fract_z
Tc1 Tc 0.250 0.250 0.000
As1 As 0.001 0.147 0.349
As2 As 0.148 0.348 0.149
As3 As 0.150 0.500 0.797
As4 As 0.155 0.500 0.507
Ru1 Ru 0.250 0.250 0.500
# Total magnetic moment = 1.378 μB/cell
# Fermi-level density of states = 32.04 states/eV per cell
# Calculated formation energy = -0.093 eV per atom
# Crystal system = monoclinic



# Tc4AsRu (PBE-GGA, relaxed)
data_Tc4AsRu
_cell_length_a 7.228
_cell_length_b 7.228
_cell_length_c 7.228
_cell_angle_alpha 90.00
_cell_angle_beta 90.00
_cell_angle_gamma 90.00
_symmetry_space_group_name_H-M 'F -4 3 m'
_symmetry_Int_Tables_number 216
_symmetry_space_group_name_Hall 'F -4 2 3'
loop_
_atom_site_label
_atom_site_type_symbol
_atom_site_fract_x
_atom_site_fract_y
_atom_site_fract_z
Tc1 Tc 0.125 0.125 0.125
As1 As 0.000 0.000 0.500
Ru1 Ru 0.250 0.250 0.750
# Total magnetic moment = 0.000 μB/cell
# Fermi-level density of states = 33.44 states/eV per cell
# Calculated formation energy = 0.626 eV per atom
# Crystal system = cubic



# Tc2AsRu (PBE-GGA, relaxed)
data_Tc2AsRu
_cell_length_a 9.131
_cell_length_b 2.832
_cell_length_c 4.556
_cell_angle_alpha 90.00
_cell_angle_beta 95.15
_cell_angle_gamma 90.00
_symmetry_space_group_name_H-M 'C 1 m 1'
_symmetry_Int_Tables_number 8
_symmetry_space_group_name_Hall 'C -2y'
loop_
_atom_site_label
_atom_site_type_symbol
_atom_site_fract_x
_atom_site_fract_y
_atom_site_fract_z
Tc1 Tc 0.000 0.000 0.000
Tc2 Tc 0.234 0.500 0.254
As1 As 0.493 0.000 0.497
Ru1 Ru 0.264 0.000 0.772
# Total magnetic moment = 0.000 μB/cell
# Fermi-level density of states = 6.06 states/eV per cell
# Calculated formation energy = 0.105 eV per atom
# Crystal system = monoclinic



# TcAsRu2 (PBE-GGA, relaxed)
data_TcAsRu2
_cell_length_a 5.499
_cell_length_b 5.499
_cell_length_c 10.967
_cell_angle_alpha 90.00
_cell_angle_beta 90.00
_cell_angle_gamma 90.00
_symmetry_space_group_name_H-M 'I -4 2 d'
_symmetry_Int_Tables_number 122
_symmetry_space_group_name_Hall 'I -4 2bw'
loop_
_atom_site_label
_atom_site_type_symbol
_atom_site_fract_x
_atom_site_fract_y
_atom_site_fract_z
Tc1 Tc 0.000 0.000 0.000
As1 As 0.000 0.000 0.500
Ru1 Ru 0.248 0.250 0.125
# Total magnetic moment = 0.000 μB/cell
# Fermi-level density of states = 11.42 states/eV per cell
# Calculated formation energy = 0.644 eV per atom
# Crystal system = tetragonal



# TcAsRu2 (PBE-GGA, relaxed)
data_TcAsRu2
_cell_length_a 6.137
_cell_length_b 6.137
_cell_length_c 6.137
_cell_angle_alpha 90.00
_cell_angle_beta 90.00
_cell_angle_gamma 90.00
_symmetry_space_group_name_H-M 'F -4 3 m'
_symmetry_Int_Tables_number 216
_symmetry_space_group_name_Hall 'F -4 2 3'
loop_
_atom_site_label
_atom_site_type_symbol
_atom_site_fract_x
_atom_site_fract_y
_atom_site_fract_z
Tc1 Tc 0.000 0.000 0.000
As1 As 0.250 0.250 0.250
Ru1 Ru 0.000 0.000 0.500
Ru2 Ru 0.250 0.250 0.750
# Total magnetic moment = 0.001 μB/cell
# Fermi-level density of states = 18.22 states/eV per cell
# Calculated formation energy = 0.212 eV per atom
# Crystal system = cubic



# TcAsRu2 (PBE-GGA, relaxed)
data_TcAsRu2
_cell_length_a 2.888
_cell_length_b 4.785
_cell_length_c 8.627
_cell_angle_alpha 90.00
_cell_angle_beta 90.00
_cell_angle_gamma 90.00
_symmetry_space_group_name_H-M 'C m m m'
_symmetry_Int_Tables_number 65
_symmetry_space_group_name_Hall '-C 2 2'
loop_
_atom_site_label
_atom_site_type_symbol
_atom_site_fract_x
_atom_site_fract_y
_atom_site_fract_z
Tc1 Tc 0.000 0.000 0.000
As1 As 0.000 0.000 0.500
Ru1 Ru 0.000 0.500 0.256
# Total magnetic moment = 0.000 μB/cell
# Fermi-level density of states = 12.17 states/eV per cell
# Calculated formation energy = 0.424 eV per atom
# Crystal system = orthorhombic



# TcAsRu2 (PBE-GGA, relaxed)
data_TcAsRu2
_cell_length_a 2.925
_cell_length_b 4.415
_cell_length_c 4.467
_cell_angle_alpha 90.00
_cell_angle_beta 90.00
_cell_angle_gamma 90.00
_symmetry_space_group_name_H-M 'P m m m'
_symmetry_Int_Tables_number 47
_symmetry_space_group_name_Hall '-P 2 2'
loop_
_atom_site_label
_atom_site_type_symbol
_atom_site_fract_x
_atom_site_fract_y
_atom_site_fract_z
Tc1 Tc 0.000 0.000 0.000
As1 As 0.500 0.000 0.500
Ru1 Ru 0.000 0.500 0.500
Ru2 Ru 0.500 0.500 0.000
# Total magnetic moment = 0.000 μB/cell
# Fermi-level density of states = 3.27 states/eV per cell
# Calculated formation energy = 0.191 eV per atom
# Crystal system = orthorhombic



# Tc2AsRu (PBE-GGA, relaxed)
data_Tc2AsRu
_cell_length_a 2.987
_cell_length_b 4.382
_cell_length_c 4.467
_cell_angle_alpha 90.00
_cell_angle_beta 90.00
_cell_angle_gamma 90.00
_symmetry_space_group_name_H-M 'P m m m'
_symmetry_Int_Tables_number 47
_symmetry_space_group_name_Hall '-P 2 2'
loop_
_atom_site_label
_atom_site_type_symbol
_atom_site_fract_x
_atom_site_fract_y
_atom_site_fract_z
Tc1 Tc 0.000 0.000 0.000
Tc2 Tc 0.500 0.500 0.000
As1 As 0.000 0.500 0.500
Ru1 Ru 0.500 0.000 0.500
# Total magnetic moment = 0.001 μB/cell
# Fermi-level density of states = 4.58 states/eV per cell
# Calculated formation energy = 0.192 eV per atom
# Crystal system = orthorhombic